P) SrLi2Ta after structural relaxation, computed with PBE.

```
SrLi2Ta
1.0
-1.965 2.152 -0.307
-3.112 -2.548 2.052
1.892 2.598 6.097
Li Sr Ta
2 1 1
Cartesian
1.059 1.455 3.413
1.779 2.443 5.733
-2.065 0.452 2.396
-1.119 1.751 5.445
```

symmetry: No. 47
crystal system: orthorhombic



Q) SrLi2Ta after structural relaxation, computed with PBE.

```
SrLi2Ta
1.0
-0.019 2.087 -2.269
0.919 -4.057 -3.740
-5.574 -0.707 -0.602
Li Sr Ta
2 1 1
Cartesian
0.000 0.000 0.000
0.450 -0.985 -3.004
-2.797 0.690 -1.436
-2.327 -2.382 -2.171
```

symmetry: No. 47
crystal system: orthorhombic



It is P) that is most stable; the runner-up trails by 0.156 eV/atom.



P) SrLi3Ta after structural relaxation, computed with PBE.

```
SrLi3Ta
1.0
4.746 0.000 0.000
0.000 4.746 0.000
0.000 0.000 4.746
Sr Li Ta
1 3 1
Cartesian
0.000 0.000 0.000
2.373 0.000 0.000
0.000 2.373 0.000
0.000 0.000 2.373
2.373 2.373 2.373
```

symmetry: No. 221
crystal system: cubic



Q) SrLi3Ta after structural relaxation, computed with PBE.

```
SrLi3Ta
1.0
-3.647 -0.708 -3.744
-1.887 -4.166 2.627
-3.310 3.156 2.627
Li Sr Ta
3 1 1
Cartesian
-1.823 -0.354 -1.872
-1.655 1.578 1.314
-0.944 -2.083 1.313
-4.422 -0.859 0.755
0.000 0.000 0.000
```

symmetry: No. 221
crystal system: cubic



It is Q) that is most stable; the runner-up trails by 0.567 eV/atom.



P) SrLi2Tb after structural relaxation, computed with PBE.

```
SrLi2Tb
1.0
-0.407 -1.724 3.501
-0.402 -3.482 -1.762
7.965 -1.111 0.379
Sr Li Tb
1 2 1
Cartesian
3.578 -3.159 1.059
6.224 -0.868 0.296
1.741 -0.243 0.083
-0.404 -2.603 0.869
```

symmetry: No. 123
crystal system: tetragonal



Q) SrLi2Tb after structural relaxation, computed with PBE.

```
SrLi2Tb
1.0
5.587 0.000 0.000
2.794 4.839 0.000
2.794 1.613 4.562
Li Tb Sr
2 1 1
Cartesian
2.794 1.613 1.140
8.381 4.839 3.421
0.000 0.000 0.000
5.587 3.226 2.281
```

symmetry: No. 225
crystal system: cubic



It is P) that is most stable; the runner-up trails by 0.045 eV/atom.